Below is a relaxed ThPaZn2O8 crystal, with properties calculated at the GGA-PBE level.

Cell: 6.046 6.046 6.046 Å, 110.30 110.30 107.83°
Positions (direct):
Th 0.000 0.000 0.000
Pa 0.750 0.250 0.500
Zn 0.250 0.750 0.500
Zn 0.500 0.500 0.000
O 0.043 0.365 0.322
O 0.043 0.722 0.678
O 0.106 0.300 0.807
O 0.278 0.957 0.322
O 0.493 0.300 0.193
O 0.635 0.957 0.678
O 0.700 0.507 0.807
O 0.700 0.894 0.193

## Properties
- SG = No. 119
- V (Å³ per cell) = 170.1
- VASP energy (eV per atom) = -7.13
- spin magnetization (μB/cell) = 0.0



Below is a relaxed NdGa5Ni2Pt crystal, with properties calculated at the GGA-PBE level.

Cell: 4.285 4.285 9.425 Å, 90.00 90.00 90.00°
Positions (direct):
Nd 0.000 0.000 0.000
Ga 0.000 0.500 0.337
Ga 0.000 0.500 0.663
Ga 0.500 0.000 0.337
Ga 0.500 0.000 0.663
Ga 0.500 0.500 0.000
Ni 0.500 0.500 0.232
Ni 0.500 0.500 0.768
Pt 0.000 0.000 0.500

## Properties
- SG = No. 123
- V (Å³ per cell) = 173.1
- VASP energy (eV per atom) = -4.52
- spin magnetization (μB/cell) = 0.0